A geometry-optimized HfGeOs structure, computed with PBE. Values from VASP.

```
&SYSTEM
  ibrav = 0, nat = 9, ntyp = 3
/
ATOMIC_SPECIES
Hf 178.49 Hf.upf
Ge 72.64 Ge.upf
Os 190.23 Os.upf
CELL_PARAMETERS angstrom
7.537 0.000 0.000
-3.768 6.527 0.000
0.000 0.000 3.037
ATOMIC_POSITIONS crystal
Hf 0.000 0.292 0.000
Hf 0.292 0.000 0.000
Hf 0.708 0.708 0.000
Ge 0.000 0.000 0.500
Ge 0.333 0.667 0.000
Ge 0.667 0.333 0.000
Os 0.000 0.626 0.500
Os 0.374 0.374 0.500
Os 0.626 0.000 0.500
```

total magnetization	0.0	μB/cell
uncorrected energy	-8.725	eV/atom


A geometry-optimized Hf3Si2GeOs3 structure, computed with PBE. Values from VASP.

```
&SYSTEM
  ibrav = 0, nat = 9, ntyp = 4
/
ATOMIC_SPECIES
Hf 178.49 Hf.upf
Si 28.09 Si.upf
Ge 72.64 Ge.upf
Os 190.23 Os.upf
CELL_PARAMETERS angstrom
6.612 0.000 0.000
-3.306 5.726 0.000
0.000 0.000 3.824
ATOMIC_POSITIONS crystal
Hf 0.000 0.423 0.000
Hf 0.423 0.000 0.000
Hf 0.577 0.577 0.000
Si 0.333 0.667 0.500
Si 0.667 0.333 0.500
Ge 0.000 0.000 0.000
Os 0.000 0.748 0.500
Os 0.252 0.252 0.500
Os 0.748 0.000 0.500
```

total magnetization	0.0	μB/cell
uncorrected energy	-9.508	eV/atom


Question: Number 1 is which compound?
Answer: HfGeOs


Repeat the first record exactly.
A geometry-optimized HfGeOs structure, computed with PBE. Values from VASP.

```
&SYSTEM
  ibrav = 0, nat = 9, ntyp = 3
/
ATOMIC_SPECIES
Hf 178.49 Hf.upf
Ge 72.64 Ge.upf
Os 190.23 Os.upf
CELL_PARAMETERS angstrom
7.537 0.000 0.000
-3.768 6.527 0.000
0.000 0.000 3.037
ATOMIC_POSITIONS crystal
Hf 0.000 0.292 0.000
Hf 0.292 0.000 0.000
Hf 0.708 0.708 0.000
Ge 0.000 0.000 0.500
Ge 0.333 0.667 0.000
Ge 0.667 0.333 0.000
Os 0.000 0.626 0.500
Os 0.374 0.374 0.500
Os 0.626 0.000 0.500
```

total magnetization	0.0	μB/cell
uncorrected energy	-8.725	eV/atom